[1]
# Re2PW

A relaxed structure of Re2PW (PBE, Alexandria).

Summary:
DOS at the Fermi energy, states/eV/f.u.: 5.08
Space group: R3m, No. 160
Formation energy from the elements, eV/atom: 0.130
Magnetic moment, μB per formula unit: 0.00

Cell and atoms, written as POSCAR:
```
Re2PW
1.0
-2.869 0.952 7.960
-0.103 0.553 8.496
-1.064 3.149 7.839
Re W P
2 1 1
Direct
0.749 0.749 0.749 Re
0.994 0.994 0.994 Re
0.505 0.505 0.505 W
0.252 0.252 0.252 P
```



[2]
# ReP2W

A relaxed structure of ReP2W (PBE, Alexandria).

Summary:
DOS at the Fermi energy, states/eV/f.u.: 4.03
Space group: F-43m, No. 216
Formation energy from the elements, eV/atom: 0.609
Magnetic moment, μB per formula unit: 0.00

Cell and atoms, written as POSCAR:
```
ReP2W
1.0
-0.301 3.766 -2.168
-3.599 2.429 0.343
0.119 3.776 2.168
Re P W
1 2 1
Direct
0.500 0.500 0.500 Re
0.000 0.000 0.000 P
0.750 0.750 0.750 P
0.250 0.250 0.250 W
```



[3]
# Re2PW

A relaxed structure of Re2PW (PBE, Alexandria).

Summary:
DOS at the Fermi energy, states/eV/f.u.: 2.36
Space group: Cmmm, No. 65
Formation energy from the elements, eV/atom: 0.336
Magnetic moment, μB per formula unit: 0.00

Cell and atoms, written as POSCAR:
```
Re2PW
1.0
1.514 -2.366 0.000
1.514 2.366 0.000
0.000 0.000 8.256
Re P W
2 1 1
Direct
0.000 0.000 0.225 Re
0.000 0.000 0.775 Re
0.500 0.500 0.000 P
0.500 0.500 0.500 W
```



[4]
# RePW2

A relaxed structure of RePW2 (PBE, Alexandria).

Summary:
DOS at the Fermi energy, states/eV/f.u.: 3.71
Space group: I-4m2, No. 119
Formation energy from the elements, eV/atom: 0.380
Magnetic moment, μB per formula unit: 0.00

Cell and atoms, written as POSCAR:
```
RePW2
1.0
-1.851 1.851 4.363
1.851 -1.851 4.363
1.851 1.851 -4.363
W P Re
2 1 1
Direct
0.250 0.750 0.500 W
0.000 0.000 0.000 W
0.500 0.500 0.000 P
0.750 0.250 0.500 Re
```



[5]
# RePW2

A relaxed structure of RePW2 (PBE, Alexandria).

Summary:
DOS at the Fermi energy, states/eV/f.u.: 1.97
Space group: Amm2, No. 38
Formation energy from the elements, eV/atom: -0.032
Magnetic moment, μB per formula unit: 0.00

Cell and atoms, written as POSCAR:
```
RePW2
1.0
2.248 5.482 -2.134
-3.219 -3.371 4.235
2.666 -0.441 1.675
P W Re
1 2 1
Direct
0.708 0.292 0.000 P
0.937 0.063 0.000 W
0.290 0.710 0.500 W
0.560 0.440 0.500 Re
```



[6]
# Re2PW

A relaxed structure of Re2PW (PBE, Alexandria).

Summary:
DOS at the Fermi energy, states/eV/f.u.: 1.94
Space group: P4mm, No. 99
Formation energy from the elements, eV/atom: -0.058
Magnetic moment, μB per formula unit: 0.00

Cell and atoms, written as POSCAR:
```
Re2PW
1.0
2.897 0.000 0.000
0.000 2.897 0.000
0.000 0.000 6.813
W Re P
1 2 1
Direct
0.000 0.000 0.528 W
0.500 0.500 0.243 Re
0.000 0.000 0.975 Re
0.500 0.500 0.754 P
```



[7]
# ReP2W

A relaxed structure of ReP2W (PBE, Alexandria).

Summary:
DOS at the Fermi energy, states/eV/f.u.: 3.62
Space group: R-3m, No. 166
Formation energy from the elements, eV/atom: 0.102
Magnetic moment, μB per formula unit: 0.00

Cell and atoms, written as POSCAR:
```
ReP2W
1.0
7.670 -0.010 -0.006
7.107 2.884 -0.006
7.107 1.382 2.531
Re P W
1 2 1
Direct
0.250 0.250 0.250 Re
0.998 0.998 0.998 P
0.502 0.502 0.502 P
0.750 0.750 0.750 W
```



[8]
# Re2PW

A relaxed structure of Re2PW (PBE, Alexandria).

Summary:
DOS at the Fermi energy, states/eV/f.u.: 2.82
Space group: I-4m2, No. 119
Formation energy from the elements, eV/atom: 0.371
Magnetic moment, μB per formula unit: 0.00

Cell and atoms, written as POSCAR:
```
Re2PW
1.0
-3.419 0.888 3.473
-0.320 4.692 1.558
0.093 -2.288 -4.393
W Re P
1 2 1
Direct
0.500 0.500 0.000 W
0.250 0.750 0.500 Re
0.000 0.000 0.000 Re
0.750 0.250 0.500 P
```



[9]
# RePW2

A relaxed structure of RePW2 (PBE, Alexandria).

Summary:
DOS at the Fermi energy, states/eV/f.u.: 4.10
Space group: R3m, No. 160
Formation energy from the elements, eV/atom: 0.217
Magnetic moment, μB per formula unit: 0.00

Cell and atoms, written as POSCAR:
```
RePW2
1.0
8.447 -1.436 0.002
8.447 1.436 0.002
8.202 0.000 2.477
P W Re
1 2 1
Direct
0.502 0.502 0.502 P
0.998 0.998 0.998 W
0.758 0.758 0.758 W
0.242 0.242 0.242 Re
```



[10]
# Re2PW

A relaxed structure of Re2PW (PBE, Alexandria).

Summary:
DOS at the Fermi energy, states/eV/f.u.: 4.01
Space group: R-3m, No. 166
Formation energy from the elements, eV/atom: 0.124
Magnetic moment, μB per formula unit: 0.00

Cell and atoms, written as POSCAR:
```
Re2PW
1.0
8.314 -1.429 -0.001
8.314 1.429 -0.001
8.069 0.000 2.461
W Re P
1 2 1
Direct
0.500 0.500 0.500 W
0.257 0.257 0.257 Re
0.743 0.743 0.743 Re
0.000 0.000 0.000 P
```



[11]
# ReP2W

A relaxed structure of ReP2W (PBE, Alexandria).

Summary:
DOS at the Fermi energy, states/eV/f.u.: 2.06
Space group: I-42d, No. 122
Formation energy from the elements, eV/atom: 0.327
Magnetic moment, μB per formula unit: 0.00

Cell and atoms, written as POSCAR:
```
ReP2W
1.0
-4.108 -0.940 1.208
1.270 -0.161 4.192
-2.801 6.376 3.386
W P Re
2 4 2
Direct
0.500 0.500 0.000 W
0.250 0.750 0.500 W
0.375 0.362 0.750 P
0.638 0.125 0.250 P
0.112 0.625 0.250 P
0.875 0.888 0.750 P
0.750 0.250 0.500 Re
0.000 0.000 0.000 Re
```



[12]
# RePW2

A relaxed structure of RePW2 (PBE, Alexandria).

Summary:
DOS at the Fermi energy, states/eV/f.u.: 2.26
Space group: Pmmm, No. 47
Formation energy from the elements, eV/atom: 0.185
Magnetic moment, μB per formula unit: 0.00

Cell and atoms, written as POSCAR:
```
RePW2
1.0
2.891 0.000 0.000
0.000 4.069 0.000
0.000 0.000 5.078
W Re P
2 1 1
Direct
0.000 0.000 0.246 W
0.000 0.000 0.754 W
0.500 0.500 0.500 Re
0.500 0.500 0.000 P
```



[13]
# RePW2

A relaxed structure of RePW2 (PBE, Alexandria).

Summary:
DOS at the Fermi energy, states/eV/f.u.: 3.00
Space group: P4/mmm, No. 123
Formation energy from the elements, eV/atom: 0.031
Magnetic moment, μB per formula unit: 0.00

Cell and atoms, written as POSCAR:
```
RePW2
1.0
-0.243 -2.092 -2.017
0.940 -1.972 1.931
-6.481 -1.154 1.978
W P Re
2 1 1
Direct
0.000 0.000 0.774 W
0.000 0.000 0.226 W
0.500 0.500 0.000 P
0.500 0.500 0.500 Re
```



[14]
# RePW2

A relaxed structure of RePW2 (PBE, Alexandria).

Summary:
DOS at the Fermi energy, states/eV/f.u.: 2.28
Space group: Cmm2, No. 35
Formation energy from the elements, eV/atom: 0.272
Magnetic moment, μB per formula unit: 0.00

Cell and atoms, written as POSCAR:
```
RePW2
1.0
1.595 -2.348 0.000
1.595 2.348 0.000
0.000 0.000 8.036
Re W P
1 2 1
Direct
0.500 0.500 0.276 Re
0.500 0.500 0.727 W
0.000 0.000 0.002 W
0.000 0.000 0.496 P
```



[15]
# RePW2

A relaxed structure of RePW2 (PBE, Alexandria).

Summary:
DOS at the Fermi energy, states/eV/f.u.: 2.72
Space group: I4/mmm, No. 139
Formation energy from the elements, eV/atom: 0.350
Magnetic moment, μB per formula unit: 0.00

Cell and atoms, written as POSCAR:
```
RePW2
1.0
2.629 -2.961 3.078
-1.938 -4.523 0.973
0.948 2.743 -4.091
W P Re
2 1 1
Direct
0.750 0.250 0.500 W
0.250 0.750 0.500 W
0.500 0.500 0.000 P
0.000 0.000 0.000 Re
```



[16]
# RePW2

A relaxed structure of RePW2 (PBE, Alexandria).

Summary:
DOS at the Fermi energy, states/eV/f.u.: 3.76
Space group: Cmmm, No. 65
Formation energy from the elements, eV/atom: 0.289
Magnetic moment, μB per formula unit: 0.00

Cell and atoms, written as POSCAR:
```
RePW2
1.0
3.019 -3.281 0.000
3.019 3.281 0.000
0.000 0.000 3.020
Re W P
1 2 1
Direct
0.500 0.500 0.500 Re
0.000 0.500 0.000 W
0.500 0.000 0.000 W
0.000 0.000 0.500 P
```



[17]
# ReP2W

A relaxed structure of ReP2W (PBE, Alexandria).

Summary:
DOS at the Fermi energy, states/eV/f.u.: 2.57
Space group: I-4m2, No. 119
Formation energy from the elements, eV/atom: 0.350
Magnetic moment, μB per formula unit: 0.00

Cell and atoms, written as POSCAR:
```
ReP2W
1.0
4.645 -0.009 0.000
1.371 4.438 0.000
-3.008 -2.215 2.761
Re W P
1 1 2
Direct
0.500 0.500 0.000 Re
0.750 0.250 0.500 W
0.000 0.000 0.000 P
0.250 0.750 0.500 P
```



[18]
# RePW2

A relaxed structure of RePW2 (PBE, Alexandria).

Summary:
DOS at the Fermi energy, states/eV/f.u.: 3.37
Space group: R-3m, No. 166
Formation energy from the elements, eV/atom: 0.196
Magnetic moment, μB per formula unit: 0.00

Cell and atoms, written as POSCAR:
```
RePW2
1.0
-5.822 -2.788 5.471
-7.062 -3.581 2.983
-5.084 -5.287 4.220
W P Re
2 1 1
Direct
0.756 0.756 0.756 W
0.244 0.244 0.244 W
0.500 0.500 0.500 P
0.000 0.000 0.000 Re
```



[19]
# RePW2

A relaxed structure of RePW2 (PBE, Alexandria).

Summary:
DOS at the Fermi energy, states/eV/f.u.: 2.85
Space group: Immm, No. 71
Formation energy from the elements, eV/atom: 0.093
Magnetic moment, μB per formula unit: 0.00

Cell and atoms, written as POSCAR:
```
RePW2
1.0
-1.522 2.216 4.338
1.522 -2.216 4.338
1.522 2.216 -4.338
Re P W
1 1 2
Direct
0.500 0.000 0.500 Re
0.000 0.500 0.500 P
0.228 0.228 0.000 W
0.772 0.772 0.000 W
```



[20]
# RePW2

A relaxed structure of RePW2 (PBE, Alexandria).

Summary:
DOS at the Fermi energy, states/eV/f.u.: 3.02
Space group: P4/mmm, No. 123
Formation energy from the elements, eV/atom: 0.495
Magnetic moment, μB per formula unit: 0.00

Cell and atoms, written as POSCAR:
```
RePW2
1.0
3.740 0.000 0.000
0.000 3.740 0.000
0.000 0.000 4.268
W P Re
2 1 1
Direct
0.000 0.500 0.000 W
0.500 0.000 0.000 W
0.500 0.500 0.500 P
0.000 0.000 0.500 Re
```



[21]
# ReP2W

A relaxed structure of ReP2W (PBE, Alexandria).

Summary:
DOS at the Fermi energy, states/eV/f.u.: 2.88
Space group: Cmm2, No. 35
Formation energy from the elements, eV/atom: 0.327
Magnetic moment, μB per formula unit: 0.00

Cell and atoms, written as POSCAR:
```
ReP2W
1.0
2.781 0.000 0.000
-1.095 2.556 0.000
0.000 0.000 9.342
Re W P
1 1 2
Direct
0.000 0.000 0.499 Re
0.500 0.500 0.745 W
0.000 0.000 0.954 P
0.500 0.500 0.302 P
```



[22]
# Re2PW

A relaxed structure of Re2PW (PBE, Alexandria).

Summary:
DOS at the Fermi energy, states/eV/f.u.: 4.82
Space group: F-43m, No. 216
Formation energy from the elements, eV/atom: 0.405
Magnetic moment, μB per formula unit: 0.00

Cell and atoms, written as POSCAR:
```
Re2PW
1.0
0.000 3.095 3.095
3.095 0.000 3.095
3.095 3.095 0.000
W Re P
1 2 1
Direct
0.250 0.250 0.250 W
0.750 0.750 0.750 Re
0.000 0.000 0.000 Re
0.500 0.500 0.500 P
```



[23]
# Re2PW

A relaxed structure of Re2PW (PBE, Alexandria).

Summary:
DOS at the Fermi energy, states/eV/f.u.: 2.29
Space group: Imm2, No. 44
Formation energy from the elements, eV/atom: -0.005
Magnetic moment, μB per formula unit: 0.00

Cell and atoms, written as POSCAR:
```
Re2PW
1.0
-1.563 -4.881 0.054
-3.268 -1.383 3.699
0.851 3.046 -4.034
Re W P
2 1 1
Direct
0.028 0.028 0.000 Re
0.755 0.255 0.500 Re
0.471 0.471 0.000 W
0.247 0.747 0.500 P
```



[24]
# RePW2

A relaxed structure of RePW2 (PBE, Alexandria).

Summary:
DOS at the Fermi energy, states/eV/f.u.: 5.29
Space group: F-43m, No. 216
Formation energy from the elements, eV/atom: 0.402
Magnetic moment, μB per formula unit: 0.00

Cell and atoms, written as POSCAR:
```
RePW2
1.0
4.193 -1.311 0.008
1.202 -3.501 2.366
1.138 -3.731 -2.021
P W Re
1 2 1
Direct
0.500 0.500 0.500 P
0.000 0.000 0.000 W
0.750 0.750 0.750 W
0.250 0.250 0.250 Re
```



[25]
# ReP2W

A relaxed structure of ReP2W (PBE, Alexandria).

Summary:
DOS at the Fermi energy, states/eV/f.u.: 3.53
Space group: Cmmm, No. 65
Formation energy from the elements, eV/atom: 0.404
Magnetic moment, μB per formula unit: 0.00

Cell and atoms, written as POSCAR:
```
ReP2W
1.0
-0.554 -2.109 -1.948
0.785 -0.814 2.697
-7.383 -0.035 2.138
P W Re
2 1 1
Direct
0.000 0.000 0.003 P
0.000 0.000 0.497 P
0.500 0.500 0.750 W
0.500 0.500 0.250 Re
```



[26]
# Re2PW

A relaxed structure of Re2PW (PBE, Alexandria).

Summary:
DOS at the Fermi energy, states/eV/f.u.: 3.64
Space group: Pmmm, No. 47
Formation energy from the elements, eV/atom: 0.277
Magnetic moment, μB per formula unit: 0.00

Cell and atoms, written as POSCAR:
```
Re2PW
1.0
-2.335 -1.197 -1.422
2.680 -2.954 -1.914
-0.642 -2.786 3.399
W Re P
1 2 1
Direct
0.500 0.500 0.000 W
0.500 0.000 0.500 Re
0.000 0.000 0.000 Re
0.000 0.500 0.500 P
```



[27]
# ReP2W

A relaxed structure of ReP2W (PBE, Alexandria).

Summary:
DOS at the Fermi energy, states/eV/f.u.: 1.86
Space group: Imm2, No. 44
Formation energy from the elements, eV/atom: -0.239
Magnetic moment, μB per formula unit: 0.00

Cell and atoms, written as POSCAR:
```
ReP2W
1.0
-5.803 -1.396 1.504
-4.435 -3.722 -2.087
5.860 0.922 1.639
Re P W
1 2 1
Direct
0.543 0.543 0.000 Re
0.957 0.957 0.000 P
0.707 0.207 0.500 P
0.294 0.794 0.500 W
```



[28]
# Re2PW

A relaxed structure of Re2PW (PBE, Alexandria).

Summary:
DOS at the Fermi energy, states/eV/f.u.: 2.22
Space group: Cm, No. 8
Formation energy from the elements, eV/atom: 0.136
Magnetic moment, μB per formula unit: 0.00

Cell and atoms, written as POSCAR:
```
Re2PW
1.0
1.488 4.552 -0.001
-1.488 4.552 -0.001
0.000 1.265 4.363
W Re P
1 2 1
Direct
0.487 0.487 0.558 W
0.261 0.261 0.177 Re
0.004 0.004 0.042 Re
0.748 0.748 0.723 P
```



[29]
# Re2PW

A relaxed structure of Re2PW (PBE, Alexandria).

Summary:
DOS at the Fermi energy, states/eV/f.u.: 4.26
Space group: I4/mmm, No. 139
Formation energy from the elements, eV/atom: 0.419
Magnetic moment, μB per formula unit: 0.00

Cell and atoms, written as POSCAR:
```
Re2PW
1.0
-1.874 1.874 4.169
1.874 -1.874 4.169
1.874 1.874 -4.169
Re W P
2 1 1
Direct
0.750 0.250 0.500 Re
0.250 0.750 0.500 Re
0.500 0.500 0.000 W
0.000 0.000 0.000 P
```



[30]
# Re2PW

A relaxed structure of Re2PW (PBE, Alexandria).

Summary:
DOS at the Fermi energy, states/eV/f.u.: 2.61
Space group: P4/mmm, No. 123
Formation energy from the elements, eV/atom: 0.244
Magnetic moment, μB per formula unit: 0.00

Cell and atoms, written as POSCAR:
```
Re2PW
1.0
4.359 0.000 0.000
0.000 4.359 0.000
0.000 0.000 3.073
P W Re
1 1 2
Direct
0.000 0.000 0.500 P
0.500 0.500 0.500 W
0.500 0.000 0.000 Re
0.000 0.500 0.000 Re
```



[31]
# ReP2W

A relaxed structure of ReP2W (PBE, Alexandria).

Summary:
DOS at the Fermi energy, states/eV/f.u.: 2.16
Space group: R3m, No. 160
Formation energy from the elements, eV/atom: -0.041
Magnetic moment, μB per formula unit: 0.00

Cell and atoms, written as POSCAR:
```
ReP2W
1.0
7.669 0.012 0.007
7.074 2.962 0.007
7.074 1.427 2.595
Re P W
1 2 1
Direct
0.509 0.509 0.509 Re
0.000 0.000 0.000 P
0.249 0.249 0.249 P
0.742 0.742 0.742 W
```